(1)
First-principles (GGA-PBE) data for an optimized crystal structure of HgWC2Br, as listed in Alexandria via LeMat-Bulk.

Unit cell a=4.0163 b=4.0163 c=5.6923 alpha=90.00 beta=90.00 gamma=90.00
Atoms (fractional coordinates):
Hg 0.0000 0.0000 0.0000
W 0.5000 0.5000 0.0000
C 0.0000 0.5000 0.5000
C 0.5000 0.0000 0.5000
Br 0.0000 0.0000 0.5000

Summary:
uncorrected formation energy = 3.44 eV/atom

=====

(2)
First-principles (GGA-PBE) data for an optimized crystal structure of Li4TbPd2, as listed in Alexandria via LeMat-Bulk.

Unit cell a=7.6769 b=7.6769 c=4.1423 alpha=90.00 beta=90.00 gamma=90.00
Atoms (fractional coordinates):
Li 0.0985 0.3469 0.0000
Li 0.1531 0.5985 0.5000
Li 0.3469 0.0985 0.0000
Li 0.4015 0.8469 0.5000
Li 0.5985 0.1531 0.5000
Li 0.6531 0.9015 0.0000
Li 0.8469 0.4015 0.5000
Li 0.9015 0.6531 0.0000
Tb 0.0000 0.0000 0.5000
Tb 0.5000 0.5000 0.0000
Pd 0.2046 0.7954 0.0000
Pd 0.2954 0.2954 0.5000
Pd 0.7046 0.7046 0.5000
Pd 0.7954 0.2046 0.0000

Summary:
polymorph energy (0 for the lowest one) = 0 meV/atom

=====

(3)
First-principles (GGA-PBE) data for an optimized crystal structure of LaPm3Th2S6, as listed in Alexandria via LeMat-Bulk.

Unit cell a=6.9882 b=6.9882 c=7.0685 alpha=99.50 beta=99.50 gamma=119.87
Atoms (fractional coordinates):
La 0.0000 0.0000 0.0000
Pm 0.1637 0.8363 0.5000
Pm 0.5000 0.5000 0.5000
Pm 0.8363 0.1637 0.5000
Th 0.3329 0.6671 0.0000
Th 0.6671 0.3329 0.0000
S 0.0853 0.4231 0.2556
S 0.2539 0.2539 0.7480
S 0.4231 0.0853 0.2556
S 0.5769 0.9147 0.7444
S 0.7461 0.7461 0.2520
S 0.9147 0.5769 0.7444

Summary:
uncorrected formation energy = -1.98 eV/atom

=====

(4)
First-principles (GGA-PBE) data for an optimized crystal structure of Y2HfZr2, as listed in Alexandria via LeMat-Bulk.

Unit cell a=7.8264 b=7.8264 c=4.3451 alpha=90.00 beta=90.00 gamma=90.00
Atoms (fractional coordinates):
Y 0.1626 0.3374 0.0000
Y 0.3374 0.8374 0.0000
Y 0.6626 0.1626 0.0000
Y 0.8374 0.6626 0.0000
Hf 0.0000 0.0000 0.5000
Hf 0.5000 0.5000 0.5000
Zr 0.1374 0.6374 0.5000
Zr 0.3626 0.1374 0.5000
Zr 0.6374 0.8626 0.5000
Zr 0.8626 0.3626 0.5000

Summary:
calculated total energy = -7.70 eV per atom

=====

(5)
First-principles (GGA-PBE) data for an optimized crystal structure of TaNi4Ag, as listed in Alexandria via LeMat-Bulk.

Unit cell a=4.7689 b=4.7689 c=4.7689 alpha=60.00 beta=60.00 gamma=60.00
Atoms (fractional coordinates):
Ta 0.0000 0.0000 0.0000
Ni 0.3750 0.3750 0.3750
Ni 0.3750 0.3750 0.8749
Ni 0.3750 0.8749 0.3750
Ni 0.8749 0.3750 0.3750
Ag 0.7500 0.7500 0.7500

Summary:
calculated total energy = -6.45 eV per atom

=====

(6)
First-principles (GGA-PBE) data for an optimized crystal structure of AlNi14As, as listed in Alexandria via LeMat-Bulk.

Unit cell a=5.0400 b=5.0400 c=7.0327 alpha=90.00 beta=90.00 gamma=90.00
Atoms (fractional coordinates):
Al 0.0000 0.0000 0.0000
Ni 0.0000 0.0000 0.5000
Ni 0.0000 0.5000 0.0000
Ni 0.0000 0.5000 0.5000
Ni 0.2500 0.2500 0.2536
Ni 0.2500 0.2500 0.7464
Ni 0.2500 0.7500 0.2536
Ni 0.2500 0.7500 0.7464
Ni 0.5000 0.0000 0.0000
Ni 0.5000 0.0000 0.5000
Ni 0.5000 0.5000 0.5000
Ni 0.7500 0.2500 0.2536
Ni 0.7500 0.2500 0.7464
Ni 0.7500 0.7500 0.2536
Ni 0.7500 0.7500 0.7464
As 0.5000 0.5000 0.0000

Summary:
calculated total energy = -5.71 eV per atom

=====

Number 1: Fermi-level density of states 3.8 states/eV/f.u.. Number 2: Fermi-level density of states 3.3 states/eV/f.u.. Number 3: Fermi-level density of states 6.5 states/eV/f.u.. Number 4: Fermi-level density of states 7.4 states/eV/f.u.. Number 5: Fermi-level density of states 3.5 states/eV/f.u.. Number 6: Fermi-level density of states 28.9 states/eV/f.u..